[1]
A plane-wave DFT calculation with GGA-PBE was carried out for an optimized crystal structure of Tl6OsBr12.

Cell and atoms, written as POSCAR:
```
Tl6OsBr12
1.0
7.2951 4.2118 4.3075
-7.2951 4.2118 4.3075
0.0000 -8.4237 4.3075
Tl Os Br
6 1 12
Cartesian
-5.6604 -1.5847 6.8122
-1.4578 -5.6944 6.1103
-4.2026 4.1097 6.1103
4.2026 -4.1097 6.8122
1.4578 5.6944 6.8122
5.6604 1.5847 6.1103
0.0000 0.0000 6.4612
-5.7209 1.3501 5.6953
-4.0297 -4.2794 7.2272
-0.5765 -1.9611 5.0409
1.6912 -5.6295 5.6953
-1.4101 1.4798 5.0409
-1.9866 -0.4813 7.8815
1.9866 0.4813 5.0409
1.4101 -1.4798 7.8815
-1.6912 5.6295 7.2272
0.5765 1.9611 7.8815
4.0297 4.2794 5.6953
5.7210 -1.3501 7.2272
```

Values from the calculation:
Energy in eV/atom: -2.934
D(E_F) in states/eV per cell: 12.9
ΔE_f (raw) in eV/atom: -0.5391


[2]
A plane-wave DFT calculation with GGA-PBE was carried out for an optimized crystal structure of LaCe3B24.

Cell and atoms, written as POSCAR:
```
LaCe3B24
1.0
4.1254 0.0000 0.0000
0.0000 4.1254 0.0000
0.0000 0.0000 16.5075
La Ce B
1 3 24
Cartesian
0.0000 0.0000 0.0000
0.0000 0.0000 4.1625
0.0000 0.0000 8.2537
0.0000 0.0000 12.3450
0.8215 2.0627 2.0793
0.8192 2.0627 6.1961
0.8192 2.0627 10.3114
0.8215 2.0627 14.4282
2.0627 0.8215 2.0793
2.0627 0.8192 6.1961
2.0627 0.8192 10.3114
2.0627 0.8215 14.4282
2.0627 2.0627 0.8289
2.0627 2.0627 3.3176
2.0627 2.0627 4.9541
2.0627 2.0627 7.4366
2.0627 2.0627 9.0709
2.0627 2.0627 11.5533
2.0627 2.0627 13.1899
2.0627 2.0627 15.6786
2.0627 3.3040 2.0793
2.0627 3.3062 6.1961
2.0627 3.3062 10.3114
2.0627 3.3040 14.4282
3.3040 2.0627 2.0793
3.3062 2.0627 6.1961
3.3062 2.0627 10.3114
3.3040 2.0627 14.4282
```

Values from the calculation:
ΔH_f (0 K) in eV per formula unit: -14.77
Energy in eV/atom: -7.063
D(E_F) in states/eV per cell: 14.6


[3]
A plane-wave DFT calculation with GGA-PBE was carried out for an optimized crystal structure of KGa2HgOs.

Cell and atoms, written as POSCAR:
```
KGa2HgOs
1.0
4.8606 0.0000 0.0000
0.0000 4.8606 0.0000
0.0000 0.0000 5.4099
K Ga Hg Os
1 2 1 1
Cartesian
0.0000 0.0000 0.0000
0.0000 2.4303 2.7049
2.4303 0.0000 2.7049
2.4303 2.4303 0.0000
2.4303 2.4303 2.7049
```

Values from the calculation:
ΔH_f (0 K) in eV per formula unit: -0.43
Energy in eV/atom: -3.823
D(E_F) in states/eV per cell: 2.4


[4]
A plane-wave DFT calculation with GGA-PBE was carried out for an optimized crystal structure of Sm2Ga2SbRh5.

Cell and atoms, written as POSCAR:
```
Sm2Ga2SbRh5
1.0
9.9027 0.0000 0.0000
0.0000 9.9027 0.0000
0.0000 0.0000 3.6362
Sm Ga Sb Rh
4 4 2 10
Cartesian
1.7357 3.2156 0.0000
3.2156 8.1670 0.0000
6.6870 1.7357 0.0000
8.1670 6.6870 0.0000
1.2041 6.1555 0.0000
3.7472 1.2041 0.0000
6.1555 8.6985 0.0000
8.6985 3.7472 0.0000
0.0000 0.0000 0.0000
4.9513 4.9513 0.0000
0.0000 4.9513 1.8181
0.6699 7.8338 1.8181
2.0688 0.6699 1.8181
2.8825 5.6212 1.8181
4.2814 2.8825 1.8181
4.9513 0.0000 1.8181
5.6212 7.0202 1.8181
7.0202 4.2814 1.8181
7.8338 9.2328 1.8181
9.2328 2.0688 1.8181
```

Values from the calculation:
Energy in eV/atom: -6.419
D(E_F) in states/eV per cell: 6.3
ΔE_f (raw) in eV/atom: -0.7821


[5]
A plane-wave DFT calculation with GGA-PBE was carried out for an optimized crystal structure of Fe2Co17.

Cell and atoms, written as POSCAR:
```
Fe2Co17
1.0
3.9929 2.3053 4.0399
-3.9929 2.3053 4.0399
0.0000 -4.6106 4.0399
Fe Co
2 17
Cartesian
0.0000 0.0000 2.1826
0.0000 0.0000 9.9372
-1.9964 -1.1526 4.0399
0.0000 -2.3463 3.8459
-2.0320 1.1732 3.8459
-1.2168 -2.1075 6.0599
-2.4336 0.0000 6.0599
-2.0320 -1.1732 8.2738
0.0000 0.0000 4.8696
-1.9964 1.1526 8.0798
1.2168 -2.1075 6.0599
0.0000 2.3053 4.0399
-1.2168 2.1075 6.0599
0.0000 0.0000 7.2501
2.0320 1.1732 3.8459
2.4336 0.0000 6.0599
1.2168 2.1075 6.0599
2.0320 -1.1732 8.2738
0.0000 2.3463 8.2738
```

Values from the calculation:
ΔH_f (0 K) in eV per formula unit: 3.53
Energy in eV/atom: -7.063
D(E_F) in states/eV per cell: 17.1


[6]
A plane-wave DFT calculation with GGA-PBE was carried out for an optimized crystal structure of Tl2ReHg.

Cell and atoms, written as POSCAR:
```
Tl2ReHg
1.0
3.0118 0.0000 0.0000
0.0000 5.0930 0.0000
-0.6136 0.0000 5.8345
Tl Re Hg
2 1 1
Cartesian
0.3550 0.0000 1.5256
2.0431 0.0000 4.3088
1.1991 2.5465 2.9172
1.5059 2.5465 0.0000
```

Values from the calculation:
ΔH_f (0 K) in eV per formula unit: 3.70
Energy relative to the lowest polymorph listed for this composition in kJ per mole of atoms: 22.8
Energy in eV/atom: -3.445
D(E_F) in states/eV per cell: 2.9


[7]
A plane-wave DFT calculation with GGA-PBE was carried out for an optimized crystal structure of Y2TcPd.

Cell and atoms, written as POSCAR:
```
Y2TcPd
1.0
-2.2719 2.2719 9.1125
2.2719 -2.2719 9.1125
2.2719 2.2719 -9.1125
Y Tc Pd
4 2 2
Cartesian
3.4078 1.1098 -2.2781
1.1098 1.1359 2.2781
-1.1359 1.1621 6.8344
1.1621 1.1359 11.3907
0.0000 0.0000 0.0000
0.0000 2.2719 4.5563
2.2719 0.0000 4.5563
0.0000 0.0000 9.1125
```

Values from the calculation:
ΔH_f (0 K) in eV per formula unit: 1.84
Energy in eV/atom: -6.662
D(E_F) in states/eV per cell: 6.3


[8]
A plane-wave DFT calculation with GGA-PBE was carried out for an optimized crystal structure of TaB3Se.

Cell and atoms, written as POSCAR:
```
TaB3Se
1.0
3.9987 0.0000 0.0000
0.0000 3.9987 0.0000
0.0000 0.0000 3.9987
Ta B Se
1 3 1
Cartesian
0.0000 0.0000 0.0000
0.0000 1.9993 1.9993
1.9993 0.0000 1.9993
1.9993 1.9993 0.0000
1.9993 1.9993 1.9993
```

Values from the calculation:
Energy relative to the lowest polymorph listed for this composition in kJ per mole of atoms: 14.2
Energy in eV/atom: -5.133
D(E_F) in states/eV per cell: 3.2
ΔE_f (raw) in eV/atom: 1.9409